No. 1
## Ti3C2 (PBE)

Data for a geometry-optimized Ti3C2 structure.

Geometry as POSCAR:
```
Ti3C2
1.0
-4.258 2.427 -2.020
-1.296 -0.721 -5.090
-4.659 -3.304 -1.107
C Ti
4 6
Cartesian
-6.897 -0.145 -6.506
-6.449 -2.651 -3.504
-3.317 -1.453 -1.711
-3.764 1.053 -4.713
-4.767 -2.848 -4.790
-7.244 -0.967 -4.531
-5.414 -1.487 -2.057
-2.969 -0.631 -3.686
-4.799 -0.111 -6.160
-5.446 1.250 -3.427
```

Formation enthalpy at 0 K, eV per atom: -0.651
E_tot, eV per atom: -9.08



No. 2
## Te2PtAu (PBE)

Data for a geometry-optimized Te2PtAu structure.

Geometry as POSCAR:
```
Te2PtAu
1.0
-2.708 -2.243 -0.680
0.760 -1.823 2.987
-4.702 4.486 3.934
Au Pt Te
1 1 2
Cartesian
-2.481 2.367 2.076
-4.496 1.327 4.100
-4.210 4.017 3.522
-2.517 -0.561 2.445
```

E_tot, eV per atom: -3.82



No. 3
## LuScTl (PBE)

Data for a geometry-optimized LuScTl structure.

Geometry as POSCAR:
```
LuScTl
1.0
-0.691 0.023 3.496
-4.882 -0.826 -0.959
3.137 -3.895 0.645
Sc Tl Lu
1 1 1
Cartesian
0.119 -2.861 1.860
-2.554 -1.838 1.322
0.000 0.000 0.001
```

Formation enthalpy at 0 K, eV per atom: -0.133
E_tot, eV per atom: -4.54



No. 4
## TbSmPt (PBE)

Data for a geometry-optimized TbSmPt structure.

Geometry as POSCAR:
```
TbSmPt
1.0
4.928 0.000 0.000
2.464 4.267 0.000
2.464 1.422 4.023
Tb Sm Pt
1 1 1
Cartesian
4.928 2.845 2.012
0.000 0.000 0.000
2.464 1.422 1.006
```

Formation enthalpy at 0 K, eV per atom: -0.805
E_tot, eV per atom: -5.93